## Ca6Pd2Au (PBE-GGA)

Data for a geometry-optimized Ca6Pd2Au structure.

a = 9.5438 Å, b = 9.9773 Å, c = 10.8368 Å
α = 90.00°, β = 90.00°, γ = 90.00°
Closest atoms and distances in Å follow each position.
Space group Immm (No. 71)
Inequivalent atoms, fractional coordinates:
Ca  0.0000  0.1911  0.2418 x8  1 Pd 2.94, 1 Au 3.24
Ca  0.1871  0.5000  0.1608 x8  3 Pd 2.89-3.05
Ca  0.2172  0.3247  0.5000 x8  3 Pd 3.05-3.08, 1 Au 3.22
Pd  0.0000  0.3241  0.0000 x4  8 Ca 2.94-3.08, 1 Au 3.23
Pd  0.0000  0.5000  0.3709 x4  1 Pd 2.80, 6 Ca 2.89-3.05
Au  0.0000  0.0000  0.0000 x2  8 Ca 3.22-3.24, 2 Pd 3.23
Au  0.0000  0.0000  0.5000 x2  8 Ca 3.39-3.46

Results
energy of formation from the pure elements	-533	meV/atom
magnetization	0.00	μB per atom

## Ca3PdAu (PBE-GGA)

Data for a geometry-optimized Ca3PdAu structure.

a = 14.6200 Å, b = 9.9879 Å, c = 3.9988 Å
α = 90.00°, β = 90.00°, γ = 90.00°
Closest atoms and distances in Å follow each position.
Space group C2 (No. 5)
Inequivalent atoms, fractional coordinates:
Ca  0.1182  0.0000  0.0008 x4  2 Pd 2.85-2.86
Ca  0.1179  0.3661  0.9992 x4  2 Pd 2.86
Ca  0.1542  0.6832  0.5002 x4  2 Pd 2.86, 2 Au 3.01
Pd  0.2501  0.4331  0.4991 x4  6 Ca 2.85-2.86
Au  0.0000  0.1829  0.5000 x2  8 Ca 3.21
Au  0.0000  0.6818  0.0000 x2  4 Ca 3.01

Results
energy of formation from the pure elements	-531	meV/atom
magnetization	0.00	μB per atom